DFT (GGA-PBEsol) results for a relaxed structure of Ca2BeAu.

```
Ca2BeAu
1.0
4.134 0.000 0.000
0.000 4.378 0.000
0.000 -2.189 5.258
Be Ca Au
1 2 1
direct
0.500 0.578 0.156
0.500 0.270 0.539
0.000 0.977 0.954
0.000 0.676 0.352
```

The energy of formation from the pure elements comes out at -0.313 eV per atom. The calculated total energy comes out at -3.36 eV per atom. The total magnetic moment is 0.00 μB/atom. The value obtained for the volume is 23.787 Å³/atom. As for the space group: Amm2 (38). The calculation puts the density of states at the Fermi level at 0.599 states/eV/atom.


DFT (GGA-PBEsol) results for a relaxed structure of CaBeAu.

```
CaBeAu
1.0
3.263 0.000 0.000
0.000 3.263 0.000
-1.631 -1.631 5.139
Ca Be Au
1 1 1
direct
0.334 0.334 0.669
0.622 0.622 0.245
0.043 0.043 0.086
```

The energy of formation from the pure elements comes out at -0.235 eV per atom. The calculated total energy comes out at -3.59 eV per atom. The total magnetic moment is 0.00 μB/atom. The value obtained for the volume is 18.239 Å³/atom. As for the space group: I4mm (107). The calculation puts the density of states at the Fermi level at 0.527 states/eV/atom.


DFT (GGA-PBEsol) results for a relaxed structure of CaBeAu2.

```
CaBeAu2
1.0
4.117 0.000 0.000
0.000 4.117 0.000
-2.059 -2.059 4.115
Ca Au Be
1 2 1
direct
0.250 0.750 0.500
0.000 0.000 0.000
0.750 0.250 0.500
0.500 0.500 0.000
```

The energy of formation from the pure elements comes out at -0.175 eV per atom. The calculated total energy comes out at -3.67 eV per atom. The total magnetic moment is 0.00 μB/atom. The value obtained for the volume is 17.439 Å³/atom. As for the space group: I-4m2 (119). The calculation puts the density of states at the Fermi level at 0.314 states/eV/atom.


DFT (GGA-PBEsol) results for a relaxed structure of CaBeAu2.

```
CaBeAu2
1.0
5.115 0.000 0.000
0.000 5.115 0.000
-2.557 -2.557 7.362
Au Be Ca
4 2 2
direct
0.624 0.375 0.250
0.625 0.374 0.750
0.125 0.376 0.750
0.626 0.875 0.250
0.500 0.500 0.000
0.750 0.250 0.500
0.250 0.750 0.500
0.000 0.000 0.000
```

The energy of formation from the pure elements comes out at -0.184 eV per atom. The calculated total energy comes out at -3.68 eV per atom. The total magnetic moment is 0.00 μB/atom. The value obtained for the volume is 24.074 Å³/atom. As for the space group: I-42d (122). The calculation puts the density of states at the Fermi level at 0.390 states/eV/atom.